{"formula": "GaHg6", "functional": "PBE", "state": "relaxed", "lattice": [[7.0910, 0.0000, 0.0000], [-2.3637, 6.6854, 0.0000], [-2.3637, -3.3427, 5.7897]], "species": ["Hg", "Hg", "Hg", "Ga", "Hg", "Hg", "Hg"], "fractional_positions": [[0.2500, 0.5000, 0.7500], [0.2500, 0.7500, 0.5000], [0.5000, 0.7500, 0.2500], [0.0000, 0.0000, 0.0000], [0.7500, 0.2500, 0.5000], [0.5000, 0.2500, 0.7500], [0.7500, 0.5000, 0.2500]], "density_g_cm3": 7.7, "delta_e_f_ev_per_atom": 0.34, "sg": "Im-3m (229)"}

{"formula": "GaHg4", "functional": "PBE", "state": "relaxed", "lattice": [[-3.3714, -2.8348, -3.1621], [3.4015, 0.6147, -4.1777], [2.5426, -4.5812, 1.3961]], "species": ["Hg", "Hg", "Hg", "Hg", "Ga"], "fractional_positions": [[0.0000, 0.5000, 0.5000], [0.0000, 0.0000, 0.0000], [0.5000, 0.5000, 0.0000], [0.5000, 0.0000, 0.5000], [0.5000, 0.5000, 0.5000]], "density_g_cm3": 9.1, "delta_e_f_ev_per_atom": 0.05, "sg": "Pm-3m (221)"}